No. 1
DFT (PBE-GGA) results for a relaxed Cs2NdTeO6 crystal.

Computed properties:
formation energy from raw total energies	-1660	meV/atom
calculated volume	254.0	Å³/cell

abc: 6.9164 6.9164 6.1310
angles: 90.00 90.00 120.00
Space group P-3m1 (No. 164)
One atom of each set of equivalent atoms:
Cs (0.3333, 0.6667, 0.1097) (multiplicity 2)
Nd (0.0000, 0.0000, 0.5000) (multiplicity 1)
Te (0.0000, 0.0000, 0.0000) (multiplicity 1)
O (0.1295, 0.2589, 0.8033) (multiplicity 6)



No. 2
DFT (PBE-GGA) results for a relaxed NaZnCd2Ge crystal.

Computed properties:
calculated volume	130.9	Å³/cell
E_form	2.0	eV per formula unit

abc: 5.002 5.002 5.232
angles: 90.00 90.00 90.00
Space group P4/mmm (No. 123)
One atom of each set of equivalent atoms:
Na (0.000, 0.000, 0.000) (multiplicity 1)
Zn (0.000, 0.000, 0.500) (multiplicity 1)
Cd (0.000, 0.500, 0.500) (multiplicity 2)
Ge (0.500, 0.500, 0.000) (multiplicity 1)



No. 3
DFT (PBE-GGA) results for a relaxed Ta2NiW crystal.

Computed properties:
calculated volume	63.9	Å³/cell
E_form	-0.3	eV per formula unit

abc: 4.433 4.433 3.252
angles: 90.00 90.00 90.00
Space group P4/mmm (No. 123)
One atom of each set of equivalent atoms:
Ta (0.000, 0.500, 0.000) (multiplicity 2)
Ni (0.000, 0.000, 0.500) (multiplicity 1)
W (0.500, 0.500, 0.500) (multiplicity 1)



No. 4
DFT (PBE-GGA) results for a relaxed La6SiAs2Cl3 crystal.

Computed properties:
formation energy from raw total energies	-1533	meV/atom
calculated volume	675.7	Å³/cell

abc: 18.644 4.331 8.551
angles: 90.00 101.86 90.00
Space group C2/m (No. 12)
One atom of each set of equivalent atoms:
La (0.003, 0.000, 0.238) (multiplicity 4)
La (0.161, 0.500, 0.089) (multiplicity 4)
La (0.169, 0.500, 0.575) (multiplicity 4)
Si (0.000, 0.500, 0.000) (multiplicity 2)
As (0.167, 0.000, 0.334) (multiplicity 4)
Cl (0.000, 0.500, 0.500) (multiplicity 2)
Cl (0.166, 0.000, 0.832) (multiplicity 4)